Arrangement i

This record from Alexandria via LeMat-Bulk describes a relaxed NaCa3Ir crystal. The functional is PBE.

a b c (Å): 6.079 6.079 9.770
angles (deg): 100.77 100.74 113.60
Element x y z (fractional)
Ca1 0.291 0.791 0.081
Ca2 0.062 0.182 0.244
Ca3 0.709 0.209 0.919
Ca4 0.682 0.562 0.245
Ca5 0.938 0.818 0.756
Ca6 0.318 0.438 0.755
Ir1 0.749 0.749 0.000
Ir2 0.251 0.251 0.000
Na1 0.719 0.219 0.500
Na2 0.281 0.781 0.500

## Properties
space group: No. 69
magnetic moment: 0.00 μB per cell

---

Arrangement ii

This record from Alexandria via LeMat-Bulk describes a relaxed NaCa3Ir crystal. The functional is PBE.

a b c (Å): 7.712 7.712 8.099
angles (deg): 89.96 61.81 59.99
Element x y z (fractional)
Ca1 0.885 0.012 0.486
Ca2 0.381 0.517 0.486
Ca3 0.542 0.184 0.993
Ca4 0.381 0.011 0.486
Ca5 0.046 0.679 0.993
Ca6 0.046 0.185 0.993
Ir1 0.383 0.263 0.735
Ir2 0.044 0.933 0.744
Na1 0.879 0.515 0.493
Na2 0.547 0.682 0.986

## Properties
space group: No. 2
magnetic moment: 0.00 μB per cell

---

Most stable: arrangement i (next structure +89 meV per atom)

---

Arrangement i

This record from Alexandria via LeMat-Bulk describes a relaxed NaCaIr2 crystal. The functional is PBE.

a b c (Å): 7.961 7.961 6.173
angles (deg): 49.84 49.84 90.00
Element x y z (fractional)
Ir1 0.875 0.868 0.750
Ir2 0.132 0.625 0.250
Ir3 0.375 0.382 0.750
Ir4 0.618 0.125 0.250
Ca1 0.750 0.250 0.500
Ca2 0.000 0.000 0.000
Na1 0.250 0.750 0.500
Na2 0.500 0.500 0.000

## Properties
space group: No. 122
magnetic moment: 0.00 μB per cell

---

Arrangement ii

This record from Alexandria via LeMat-Bulk describes a relaxed NaCaIr2 crystal. The functional is PBE.

a b c (Å): 4.712 4.712 4.712
angles (deg): 60.00 60.00 60.00
Element x y z (fractional)
Na1 0.000 0.000 0.000
Ir1 0.250 0.250 0.250
Ir2 0.750 0.750 0.750
Ca1 0.500 0.500 0.500

## Properties
space group: No. 225
magnetic moment: 0.00 μB per cell

---

Most stable: arrangement i (next structure +51 meV per atom)

---

Arrangement i

This record from Alexandria via LeMat-Bulk describes a relaxed Na3CaIr crystal. The functional is PBE.

a b c (Å): 5.438 5.438 5.438
angles (deg): 90.00 90.00 90.00
Element x y z (fractional)
Ca1 0.000 0.000 0.000
Ir1 0.500 0.500 0.500
Na1 0.000 0.500 0.000
Na2 0.500 0.000 0.000
Na3 0.000 0.000 0.500

## Properties
space group: No. 221
magnetic moment: 0.00 μB per cell

---

Arrangement ii

This record from Alexandria via LeMat-Bulk describes a relaxed Na3CaIr crystal. The functional is PBE.

a b c (Å): 5.437 5.437 5.437
angles (deg): 90.00 90.00 90.00
Element x y z (fractional)
Na1 0.500 0.000 0.000
Na2 0.000 0.000 0.500
Na3 0.000 0.500 0.000
Ca1 0.500 0.500 0.500
Ir1 0.000 0.000 0.000

## Properties
space group: No. 221
magnetic moment: 0.00 μB per cell

---

Most stable: arrangement ii (next structure +978 meV per atom)

---

Arrangement i

This record from Alexandria via LeMat-Bulk describes a relaxed Na2CaIr crystal. The functional is PBE.

a b c (Å): 4.166 4.166 11.627
angles (deg): 79.68 79.68 90.00
Element x y z (fractional)
Ca1 0.250 0.750 0.500
Ca2 0.500 0.500 0.000
Na1 0.375 0.342 0.750
Na2 0.875 0.908 0.750
Na3 0.658 0.125 0.250
Na4 0.092 0.625 0.250
Ir1 0.000 0.000 0.000
Ir2 0.750 0.250 0.500

## Properties
space group: No. 122
magnetic moment: 0.00 μB per cell

---

Arrangement ii

This record from Alexandria via LeMat-Bulk describes a relaxed Na2CaIr crystal. The functional is PBE.

a b c (Å): 4.988 4.988 4.988
angles (deg): 60.00 60.00 60.00
Element x y z (fractional)
Ca1 0.000 0.000 0.000
Na1 0.250 0.250 0.250
Na2 0.750 0.750 0.750
Ir1 0.500 0.500 0.500

## Properties
space group: No. 225
magnetic moment: 0.00 μB per cell

---

Most stable: arrangement i (next structure +27 meV per atom)

---

Arrangement i

This record from Alexandria via LeMat-Bulk describes a relaxed RbNaCa2Ir crystal. The functional is PBE.

a b c (Å): 5.736 4.914 5.736
angles (deg): 90.00 90.00 90.00
Element x y z (fractional)
Ir1 0.500 0.500 0.500
Na1 0.000 0.500 0.000
Ca1 0.500 0.000 0.000
Ca2 0.000 0.000 0.500
Rb1 0.000 0.000 0.000

## Properties
space group: No. 123
magnetic moment: 0.00 μB per cell

---

Arrangement ii

This record from Alexandria via LeMat-Bulk describes a relaxed RbNaCa2Ir crystal. The functional is PBE.

a b c (Å): 5.563 5.563 6.056
angles (deg): 90.00 90.00 90.00
Element x y z (fractional)
Rb1 0.500 0.500 0.500
Ca1 0.000 0.500 0.000
Ca2 0.500 0.000 0.000
Na1 0.000 0.000 0.500
Ir1 0.000 0.000 0.000

## Properties
space group: No. 123
magnetic moment: 0.00 μB per cell

---

Most stable: arrangement ii (next structure +1524 meV per atom)

---

Arrangement i

This record from Alexandria via LeMat-Bulk describes a relaxed NaCaTcIr2 crystal. The functional is PBE.

a b c (Å): 4.950 4.997 4.950
angles (deg): 90.00 90.00 90.00
Each line ends with the local moment (μB).
Element x y z (fractional)
Ca1 0.000 0.000 0.000  -0.02
Na1 0.500 0.500 0.500  -0.01
Tc1 0.000 0.500 0.000  2.88
Ir1 0.500 0.000 0.000  0.41
Ir2 0.000 0.000 0.500  0.63

## Properties
space group: No. 123
magnetic moment: 4.20 μB per cell

---

Arrangement ii

This record from Alexandria via LeMat-Bulk describes a relaxed NaCaTcIr2 crystal. The functional is PBE.

a b c (Å): 4.745 5.071 4.745
angles (deg): 90.00 90.00 90.00
Element x y z (fractional)
Ir1 0.000 0.000 0.500
Ir2 0.500 0.000 0.000
Tc1 0.000 0.000 0.000
Na1 0.000 0.500 0.000
Ca1 0.500 0.500 0.500

## Properties
space group: No. 123
magnetic moment: 0.00 μB per cell

---

Most stable: arrangement ii (next structure +1401 meV per atom)

---

Arrangement i

This record from Alexandria via LeMat-Bulk describes a relaxed NaCa2YIr crystal. The functional is PBE.

a b c (Å): 5.728 5.216 5.728
angles (deg): 90.00 90.00 90.00
Each line ends with the local moment (μB).
Element x y z (fractional)
Y1 0.000 0.000 0.000  1.02
Ir1 0.500 0.500 0.500  -0.38
Ca1 0.500 0.000 0.000  0.14
Ca2 0.000 0.000 0.500  0.27
Na1 0.000 0.500 0.000  0.03

## Properties
space group: No. 123
magnetic moment: 2.22 μB per cell

---

Arrangement ii

This record from Alexandria via LeMat-Bulk describes a relaxed NaCa2YIr crystal. The functional is PBE.

a b c (Å): 5.664 5.664 5.371
angles (deg): 90.00 90.00 90.00
Element x y z (fractional)
Y1 0.000 0.000 0.500
Ir1 0.000 0.000 0.000
Na1 0.500 0.500 0.500
Ca1 0.000 0.500 0.000
Ca2 0.500 0.000 0.000

## Properties
space group: No. 123
magnetic moment: 0.00 μB per cell

---

Most stable: arrangement ii (next structure +1961 meV per atom)

---

Arrangement i

This record from Alexandria via LeMat-Bulk describes a relaxed Ca2Nb2Ir crystal. The functional is PBE.

a b c (Å): 8.301 8.301 3.415
angles (deg): 90.00 90.00 90.00
Element x y z (fractional)
Nb1 0.097 0.597 0.500
Nb2 0.597 0.903 0.500
Nb3 0.903 0.403 0.500
Nb4 0.403 0.097 0.500
Ir1 0.000 0.000 0.000
Ir2 0.500 0.500 0.000
Ca1 0.299 0.799 0.000
Ca2 0.799 0.701 0.000
Ca3 0.701 0.201 0.000
Ca4 0.201 0.299 0.000

## Properties
space group: No. 127
magnetic moment: 0.00 μB per cell

---

Arrangement ii

This record from Alexandria via LeMat-Bulk describes a relaxed Ca2Nb2Ir crystal. The functional is PBE.

a b c (Å): 3.594 3.594 10.070
angles (deg): 79.72 79.72 90.00
Element x y z (fractional)
Ca1 0.585 0.585 0.831
Ca2 0.415 0.415 0.169
Nb1 0.750 0.250 0.500
Nb2 0.250 0.750 0.500
Ir1 0.000 0.000 0.000

## Properties
space group: No. 139
magnetic moment: 0.00 μB per cell

---

Most stable: arrangement ii (next structure +662 meV per atom)

---

Arrangement i

This record from Alexandria via LeMat-Bulk describes a relaxed CaNb2Ir crystal. The functional is PBE.

a b c (Å): 7.879 7.879 6.261
angles (deg): 51.01 51.01 90.00
Element x y z (fractional)
Ca1 0.250 0.750 0.500
Ca2 0.500 0.500 0.000
Nb1 0.375 0.310 0.750
Nb2 0.690 0.125 0.250
Nb3 0.875 0.940 0.750
Nb4 0.060 0.625 0.250
Ir1 0.750 0.250 0.500
Ir2 0.000 0.000 0.000

## Properties
space group: No. 122
magnetic moment: 0.00 μB per cell

---

Arrangement ii

This record from Alexandria via LeMat-Bulk describes a relaxed CaNb2Ir crystal. The functional is PBE.

a b c (Å): 4.679 4.679 4.679
angles (deg): 60.00 60.00 60.00
Element x y z (fractional)
Ca1 0.000 0.000 0.000
Ir1 0.500 0.500 0.500
Nb1 0.250 0.250 0.250
Nb2 0.750 0.750 0.750

## Properties
space group: No. 225
magnetic moment: 0.00 μB per cell

---

Most stable: arrangement ii (next structure +57 meV per atom)

---

Arrangement i

This record from Alexandria via LeMat-Bulk describes a relaxed CaNb3Ir crystal. The functional is PBE.

a b c (Å): 4.971 4.971 4.971
angles (deg): 90.00 90.00 90.00
Element x y z (fractional)
Ir1 0.000 0.000 0.000
Nb1 0.500 0.000 0.000
Nb2 0.000 0.000 0.500
Nb3 0.000 0.500 0.000
Ca1 0.500 0.500 0.500

## Properties
space group: No. 221
magnetic moment: 0.00 μB per cell

---

Arrangement ii

This record from Alexandria via LeMat-Bulk describes a relaxed CaNb3Ir crystal. The functional is PBE.

a b c (Å): 4.608 4.608 4.608
angles (deg): 90.00 90.00 90.00
Element x y z (fractional)
Nb1 0.000 0.500 0.000
Nb2 0.500 0.000 0.000
Nb3 0.000 0.000 0.500
Ca1 0.000 0.000 0.000
Ir1 0.500 0.500 0.500

## Properties
space group: No. 221
magnetic moment: 0.00 μB per cell

---

Most stable: arrangement i (next structure +1628 meV per atom)

---

Arrangement i

This record from Alexandria via LeMat-Bulk describes a relaxed Ca2NbIr crystal. The functional is PBE.

a b c (Å): 5.048 5.048 5.048
angles (deg): 60.00 60.00 60.00
Each line ends with the local moment (μB).
Element x y z (fractional)
Ir1 0.500 0.500 0.500  0.10
Ca1 0.250 0.250 0.250  0.12
Ca2 0.750 0.750 0.750  0.12
Nb1 0.000 0.000 0.000  2.59

## Properties
space group: No. 225
magnetic moment: 3.99 μB per cell

---

Arrangement ii

This record from Alexandria via LeMat-Bulk describes a relaxed Ca2NbIr crystal. The functional is PBE.

a b c (Å): 10.304 10.304 7.690
angles (deg): 47.93 47.93 90.00
Each line ends with the local moment (μB).
Element x y z (fractional)
Nb1 0.250 0.750 0.500  1.28
Nb2 0.500 0.500 0.000  1.29
Ca1 0.980 0.625 0.250  0.02
Ca2 0.875 0.020 0.750  0.02
Ca3 0.375 0.230 0.750  0.02
Ca4 0.770 0.125 0.250  0.02
Ir1 0.750 0.250 0.500  0.00
Ir2 0.000 0.000 0.000  0.00

## Properties
space group: No. 122
magnetic moment: 3.60 μB per cell

---

Most stable: arrangement ii (next structure +98 meV per atom)

---

Arrangement i

This record from Alexandria via LeMat-Bulk describes a relaxed Ca3NbIr crystal. The functional is PBE.

a b c (Å): 5.455 5.455 5.455
angles (deg): 90.00 90.00 90.00
Each line ends with the local moment (μB).
Element x y z (fractional)
Nb1 0.500 0.500 0.500  2.92
Ca1 0.000 0.500 0.000  0.03
Ca2 0.000 0.000 0.500  0.04
Ca3 0.500 0.000 0.000  0.02
Ir1 0.000 0.000 0.000  0.12

## Properties
space group: No. 221
magnetic moment: 4.61 μB per cell

---

Arrangement ii

This record from Alexandria via LeMat-Bulk describes a relaxed Ca3NbIr crystal. The functional is PBE.

a b c (Å): 5.267 5.267 5.267
angles (deg): 90.00 90.00 90.00
Each line ends with the local moment (μB).
Element x y z (fractional)
Ir1 0.500 0.500 0.500  0.80
Ca1 0.000 0.500 0.000  0.03
Ca2 0.500 0.000 0.000  0.01
Ca3 0.000 0.000 0.500  0.03
Nb1 0.000 0.000 0.000  0.55

## Properties
space group: No. 221
magnetic moment: 1.44 μB per cell

---

Most stable: arrangement i (next structure +938 meV per atom)